No. 1
The following is a DFT calculation (PBE) of Nd8SmSc3 after structural relaxation. Values from VASP.

Summary:
N(E_F)   18.567 states/eV per cell
Space-group type   Immm (71)
Theoretical density   5.6 g/cm3
Total magnetic moment   0.0 μB per formula unit
Calculated formation energy   461 kJ/mol of formula units
Raw total energy   -4.756 eV/atom

```
&SYSTEM
  ibrav = 0, nat = 12, ntyp = 3
/
ATOMIC_SPECIES
Nd 144.24 Nd.upf
Sm 150.36 Sm.upf
Sc 44.96 Sc.upf
CELL_PARAMETERS angstrom
8.165 -1.250 -2.498
-5.717 6.348 -1.223
0.937 1.250 8.487
ATOMIC_POSITIONS crystal
Nd 0.511 0.222 0.289
Nd 0.489 0.778 0.711
Nd 0.067 0.778 0.289
Nd 0.933 0.222 0.711
Nd 0.166 0.253 0.420
Nd 0.834 0.253 0.087
Nd 0.166 0.747 0.913
Nd 0.834 0.747 0.580
Sm 0.000 0.000 0.000
Sc 0.500 0.789 0.289
Sc 0.500 0.211 0.711
Sc 0.000 0.500 0.500
```


No. 2
The following is a DFT calculation (PBE) of Nd5Sm3Sc after structural relaxation. Values from VASP.

Summary:
N(E_F)   28.967 states/eV per cell
Space-group type   C2/m (12)
Theoretical density   5.9 g/cm3
Total magnetic moment   0.0 μB per formula unit
Calculated formation energy   474 kJ/mol of formula units
Raw total energy   -4.380 eV/atom

```
&SYSTEM
  ibrav = 0, nat = 18, ntyp = 3
/
ATOMIC_SPECIES
Nd 144.24 Nd.upf
Sm 150.36 Sm.upf
Sc 44.96 Sc.upf
CELL_PARAMETERS angstrom
8.031 -1.179 0.602
1.065 8.047 0.602
3.108 2.347 10.831
ATOMIC_POSITIONS crystal
Nd 0.952 0.421 0.352
Nd 0.254 0.746 0.000
Nd 0.695 0.695 0.092
Nd 0.458 0.458 0.385
Nd 0.542 0.542 0.615
Nd 0.305 0.305 0.908
Nd 0.421 0.952 0.352
Nd 0.746 0.254 0.000
Nd 0.048 0.579 0.648
Nd 0.579 0.048 0.648
Sm 0.621 0.621 0.844
Sm 0.801 0.801 0.337
Sm 0.000 0.000 0.000
Sm 0.000 0.000 0.500
Sm 0.379 0.379 0.156
Sm 0.199 0.199 0.663
Sc 0.906 0.906 0.797
Sc 0.094 0.094 0.203
```


No. 3
The following is a DFT calculation (PBE) of NdSm6Sc3 after structural relaxation. Values from VASP.

Summary:
Energy relative to the lowest polymorph listed for this composition   1.5 kJ per mole of atoms
N(E_F)   17.892 states/eV per cell
Space-group type   R32 (155)
Theoretical density   6.2 g/cm3
Total magnetic moment   0.7 μB per formula unit
Calculated formation energy   173 kJ/mol of formula units
Raw total energy   -5.029 eV/atom

```
&SYSTEM
  ibrav = 0, nat = 10, ntyp = 3
/
ATOMIC_SPECIES
Nd 144.24 Nd.upf
Sm 150.36 Sm.upf
Sc 44.96 Sc.upf
CELL_PARAMETERS angstrom
2.089 0.836 9.484
7.722 -4.643 3.717
5.473 1.789 3.645
ATOMIC_POSITIONS crystal
Nd 0.900 0.900 0.300
Sm 0.900 0.562 0.300
Sm 0.238 0.900 0.300
Sm 0.562 0.238 0.300
Sm 0.067 0.400 0.800
Sm 0.733 0.067 0.800
Sm 0.400 0.733 0.800
Sc 0.400 0.400 0.800
Sc 0.640 0.640 0.081
Sc 0.160 0.160 0.519
```


No. 4
The following is a DFT calculation (PBE) of NdSm6Sc4 after structural relaxation. Values from VASP.

Summary:
N(E_F)   17.848 states/eV per cell
Space-group type   P-6m2 (187)
Theoretical density   5.7 g/cm3
Total magnetic moment   0.0 μB per formula unit
Calculated formation energy   330 kJ/mol of formula units
Raw total energy   -4.999 eV/atom

```
&SYSTEM
  ibrav = 0, nat = 11, ntyp = 3
/
ATOMIC_SPECIES
Nd 144.24 Nd.upf
Sm 150.36 Sm.upf
Sc 44.96 Sc.upf
CELL_PARAMETERS angstrom
-1.464 1.940 -4.724
-5.423 -6.819 -1.119
-2.893 7.319 3.902
ATOMIC_POSITIONS crystal
Nd 0.000 0.000 0.000
Sm 0.000 0.532 0.064
Sm 0.500 0.608 0.804
Sm 0.000 0.532 0.468
Sm 0.000 0.936 0.468
Sm 0.500 0.196 0.804
Sm 0.500 0.196 0.392
Sc 0.500 0.785 0.570
Sc 0.500 0.430 0.215
Sc 0.500 0.785 0.215
Sc 0.000 0.333 0.667
```


No. 5
The following is a DFT calculation (PBE) of Nd3Sm8Sc2 after structural relaxation. Values from VASP.

Summary:
N(E_F)   19.745 states/eV per cell
Space-group type   C2/m (12)
Theoretical density   6.5 g/cm3
Total magnetic moment   0.0 μB per formula unit
Calculated formation energy   290 kJ/mol of formula units
Raw total energy   -4.747 eV/atom

```
&SYSTEM
  ibrav = 0, nat = 13, ntyp = 3
/
ATOMIC_SPECIES
Nd 144.24 Nd.upf
Sm 150.36 Sm.upf
Sc 44.96 Sc.upf
CELL_PARAMETERS angstrom
5.663 0.000 0.760
0.000 7.804 0.000
-1.323 -3.902 9.819
ATOMIC_POSITIONS crystal
Nd 0.500 0.000 0.000
Nd 0.000 0.291 0.000
Nd 0.000 0.709 0.000
Sm 0.001 0.680 0.359
Sm 0.999 0.320 0.641
Sm 0.000 0.136 0.272
Sm 0.000 0.864 0.728
Sm 0.500 0.594 0.774
Sm 0.500 0.180 0.774
Sm 0.500 0.820 0.226
Sm 0.500 0.406 0.226
Sc 0.499 0.241 0.481
Sc 0.501 0.759 0.519
```


No. 6
The following is a DFT calculation (PBE) of Nd2Sm6Sc after structural relaxation. Values from VASP.

Summary:
Energy relative to the lowest polymorph listed for this composition   0.0 kJ per mole of atoms
N(E_F)   15.535 states/eV per cell
Space-group type   P-6m2 (187)
Theoretical density   6.8 g/cm3
Total magnetic moment   0.0 μB per formula unit
Calculated formation energy   64 kJ/mol of formula units
Raw total energy   -4.835 eV/atom

```
&SYSTEM
  ibrav = 0, nat = 9, ntyp = 3
/
ATOMIC_SPECIES
Nd 144.24 Nd.upf
Sm 150.36 Sm.upf
Sc 44.96 Sc.upf
CELL_PARAMETERS angstrom
3.611 0.000 0.000
-1.805 3.127 0.000
0.000 0.000 26.671
ATOMIC_POSITIONS crystal
Nd 0.667 0.333 0.327
Nd 0.667 0.333 0.673
Sm 0.667 0.333 0.899
Sm 0.333 0.667 0.436
Sm 0.333 0.667 0.788
Sm 0.333 0.667 0.212
Sm 0.333 0.667 0.564
Sm 0.667 0.333 0.101
Sc 0.333 0.667 0.000
```